Computed, not measured: a relaxed structure of RbBrCl3 at the PBE level of DFT.

The structure in POSCAR format:
```
RbBrCl3
1.0
-7.203 1.525 -1.862
-0.773 -2.883 -4.391
0.209 -10.403 2.566
Rb Br Cl
2 2 6
direct
0.197 0.924 0.154 Rb
0.255 0.065 0.656 Rb
0.576 0.489 0.988 Br
0.743 0.972 0.412 Br
0.406 0.203 0.371 Cl
0.821 0.065 0.818 Cl
0.277 0.409 0.895 Cl
0.784 0.437 0.650 Cl
0.082 0.753 0.449 Cl
0.876 0.575 0.071 Cl
```

Its formation energy from raw total energies is -0.83 eV/atom. The total DFT energy (no corrections) is -24.71 eV for the cell shown. As for the energy above the most stable polymorph in this dataset: 0.001 eV per atom.



Computed, not measured: a relaxed structure of Rb2BrCl4 at the PBE level of DFT.

The structure in POSCAR format:
```
Rb2BrCl4
1.0
-8.119 1.203 -5.686
-2.887 -2.947 3.499
-1.670 7.686 5.096
Rb Br Cl
4 2 8
direct
0.688 0.750 0.012 Rb
0.312 0.250 0.988 Rb
0.266 0.250 0.488 Rb
0.734 0.750 0.512 Rb
0.118 0.750 0.129 Br
0.882 0.250 0.871 Br
0.499 0.500 0.268 Cl
0.158 0.750 0.877 Cl
0.842 0.250 0.123 Cl
0.499 0.000 0.268 Cl
0.919 0.250 0.617 Cl
0.501 0.000 0.732 Cl
0.501 0.500 0.732 Cl
0.081 0.750 0.383 Cl
```

Its formation energy from raw total energies is -1.11 eV/atom. The total DFT energy (no corrections) is -37.53 eV for the cell shown.



> The lowest total DFT energy (no corrections) belongs to which entry?

Rb2BrCl4